# Mg3AgC4O12

Crystalline Mg3AgC4O12 at its relaxed geometry (GGA-PBE, the Alexandria database).

E_tot: -138.2 eV/f.u.
M_tot: 0.899 μB per cell

Lattice parameters (Å, degrees): 6.1522 6.1522 6.1522 103.05 103.05 103.05
Atoms (fractional coordinates):
Mg (0.0000, 0.5442, 0.4558)
Mg (0.4558, 0.0000, 0.5442)
Mg (0.5442, 0.4558, 0.0000)
Ag (0.0000, 0.0000, 0.0000)
C (0.0420, 0.5000, 0.9580)
C (0.5000, 0.5000, 0.5000)
C (0.5000, 0.9580, 0.0420)
C (0.9580, 0.0420, 0.5000)
O (0.0262, 0.6164, 0.8075)
O (0.0922, 0.9078, 0.5000)
O (0.1925, 0.3836, 0.9738)
O (0.3654, 0.6346, 0.5000)
O (0.3836, 0.9738, 0.1925)
O (0.5000, 0.0922, 0.9078)
O (0.5000, 0.3654, 0.6346)
O (0.6164, 0.8075, 0.0262)
O (0.6346, 0.5000, 0.3654)
O (0.8075, 0.0262, 0.6164)
O (0.9078, 0.5000, 0.0922)
O (0.9738, 0.1925, 0.3836)

=====

# NbSi2BH

Crystalline NbSi2BH at its relaxed geometry (GGA-PBE, the Alexandria database).

E_tot: -27.2 eV/f.u.
M_tot: 0.000 μB per cell

Lattice parameters (Å, degrees): 3.8460 3.8460 4.4706 90.00 90.00 90.00
Atoms (fractional coordinates):
Nb (0.0000, 0.0000, 0.0000)
Si (0.0000, 0.5000, 0.5000)
Si (0.5000, 0.0000, 0.5000)
B (0.0000, 0.0000, 0.5000)
H (0.5000, 0.5000, 0.0000)

=====

# AcHoTl

Crystalline AcHoTl at its relaxed geometry (GGA-PBE, the Alexandria database).

energy relative to the elements: -0.76 eV/f.u.
energy relative to the lowest polymorph listed for this composition: 0.000 eV/atom
M_tot: 1.928 μB per cell

Lattice parameters (Å, degrees): 4.9496 4.9496 8.4867 90.00 90.00 90.00
Atoms (fractional coordinates):
Ac (0.2500, 0.2500, 0.1482)
Ac (0.7500, 0.7500, 0.8518)
Ho (0.2500, 0.7500, 0.5000)
Ho (0.7500, 0.2500, 0.5000)
Tl (0.2500, 0.2500, 0.7433)
Tl (0.7500, 0.7500, 0.2567)

=====

Question: Look up the M_tot of the third one.
Answer: 1.928 μB per cell

=====

Question: Look up the M_tot of the second one.
Answer: 0.000 μB per cell

=====

Question: The highest M_tot belongs to which entry?
Answer: AcHoTl